[1]
Material: AsIrAu2
Method: DFT, PBE
State: relaxed

a = 2.8381 Å, b = 2.8381 Å, c = 10.5852 Å
α = 90.00°, β = 90.00°, γ = 119.27°
With the nearest neighbours (Å) after each atom.
Positions (direct):
Au 0.5000 0.5000 0.2721  8 Au 2.84-3.02, 2 Ir 2.88
Au 0.0000 0.0000 0.0213  8 Au 2.84-3.02
As 0.5000 0.5000 0.6990  2 Ir 2.48
Ir 0.0000 0.0000 0.5077  2 As 2.48

Output
SG: No. 35
Formation energy from the elements, kJ per mole of atoms: 18.7
Crystal system: orthorhombic
Total energy, eV/atom: -4.82


[2]
Material: LiBP
Method: DFT, PBE
State: relaxed

a = 8.1922 Å, b = 3.1599 Å, c = 8.3270 Å
α = 90.00°, β = 119.30°, γ = 90.00°
With the nearest neighbours (Å) after each atom.
Positions (direct):
P 0.8876 0.5000 0.1486  2 B 1.91
P 0.8876 0.0000 0.6486  2 B 1.91
B 0.0220 0.5000 0.7692  1 B 1.71, 2 P 1.91
Li 0.5419 0.5000 0.9174  4 P 2.53-2.68, 1 B 2.57
Li 0.5419 0.0000 0.4174  4 P 2.53-2.68, 1 B 2.57
B 0.2453 0.5000 0.9494  1 B 1.71, 2 P 1.91
P 0.3845 0.0000 0.0636  2 B 1.91
P 0.3845 0.5000 0.5636  2 B 1.91
B 0.2453 0.0000 0.4494  1 B 1.71, 2 P 1.91
Li 0.0464 0.0000 0.9991  5 B 2.35-2.45, 2 P 2.55
Li 0.0464 0.5000 0.4991  5 B 2.35-2.45, 2 P 2.55
B 0.0220 0.0000 0.2692  1 B 1.71, 2 P 1.91

Output
Offset from the most stable computed form, meV/atom: 70
SG: No. 8
Formation energy from the elements, kJ per mole of atoms: -24.4
Crystal system: monoclinic
Total energy, eV/atom: -4.92


[3]
Material: Tb4Th
Method: DFT, PBE
State: relaxed

a = 6.0010 Å, b = 6.3455 Å, c = 9.4720 Å
α = 90.00°, β = 90.00°, γ = 114.10°
With the nearest neighbours (Å) after each atom.
Positions (direct):
Tb 0.0684 0.6829 0.1887  2 Th 3.33-3.39, 5 Tb 3.39-3.71
Tb 0.0198 0.7411 0.5723  8 Tb 3.27-3.66, 1 Th 3.50
Tb 0.4316 0.3171 0.1887  2 Th 3.33-3.39, 5 Tb 3.39-3.71
Tb 0.9316 0.3171 0.8113  2 Th 3.33-3.39, 5 Tb 3.39-3.71
Tb 0.9802 0.2589 0.4277  8 Tb 3.27-3.66, 1 Th 3.50
Th 0.7500 0.0000 0.1025  6 Tb 3.33-3.50, 2 Th 3.57
Tb 0.4802 0.2589 0.5723  8 Tb 3.27-3.66, 1 Th 3.50
Tb 0.5684 0.6829 0.8113  2 Th 3.33-3.39, 5 Tb 3.39-3.71
Th 0.2500 0.0000 0.8975  6 Tb 3.33-3.50, 2 Th 3.57
Tb 0.5198 0.7411 0.4277  8 Tb 3.27-3.66, 1 Th 3.50

Output
Offset from the most stable computed form, meV/atom: 139
SG: No. 13
Formation energy from the elements, kJ per mole of atoms: 19.0
Crystal system: monoclinic
Total energy, eV/atom: -4.99


[4]
Material: Pr3NiB7
Method: DFT, PBE
State: relaxed

a = 3.5670 Å, b = 8.4262 Å, c = 9.6025 Å
α = 90.00°, β = 90.00°, γ = 102.22°
With the nearest neighbours (Å) after each atom.
Positions (direct):
B 0.4752 0.9503 0.7500  2 B 1.72
Ni 0.0598 0.1196 0.7500  10 B 2.26-2.42
B 0.5248 0.0497 0.2500  2 B 1.72
B 0.5236 0.0471 0.9083  2 B 1.72-1.82
Pr 0.1048 0.2095 0.0665  11 B 2.70-2.83
Pr 0.7568 0.5135 0.2500  10 B 2.73-2.78, 1 Ni 3.02
B 0.5236 0.0471 0.5917  2 B 1.72-1.82
B 0.3716 0.7431 0.3477  3 B 1.82-1.99
Pr 0.2432 0.4865 0.7500  10 B 2.73-2.78, 1 Ni 3.02
B 0.6284 0.2569 0.6523  3 B 1.82-1.99
B 0.2745 0.5491 0.0297  3 B 1.99-2.04
B 0.7255 0.4509 0.9703  3 B 1.99-2.04
B 0.3716 0.7431 0.1523  3 B 1.82-1.99
B 0.4764 0.9529 0.0917  2 B 1.72-1.82
B 0.4764 0.9529 0.4083  2 B 1.72-1.82
Pr 0.8952 0.7905 0.5665  11 B 2.70-2.83
Pr 0.8952 0.7905 0.9335  11 B 2.70-2.83
B 0.7255 0.4509 0.5297  3 B 1.99-2.04
B 0.6284 0.2569 0.8477  3 B 1.82-1.99
Pr 0.1048 0.2095 0.4335  11 B 2.70-2.83
B 0.2745 0.5491 0.4703  3 B 1.99-2.04
Ni 0.9402 0.8804 0.2500  10 B 2.26-2.42

Output
SG: No. 63
Formation energy from the elements, kJ per mole of atoms: -25.5
Crystal system: orthorhombic
Total energy, eV/atom: -6.34


[5]
Material: PbSe3
Method: DFT, PBE
State: relaxed

a = 8.1565 Å, b = 8.1565 Å, c = 3.5949 Å
α = 90.00°, β = 90.00°, γ = 111.38°
With the nearest neighbours (Å) after each atom.
Positions (direct):
Pb 0.3902 0.6098 0.2500  2 Se 3.05
Se 0.0780 0.9220 0.2500  6 Se 2.77-2.93
Se 0.6195 0.0001 0.2500  4 Se 2.65-2.93
Se 0.9220 0.0780 0.7500  6 Se 2.77-2.93
Se 0.3805 0.9999 0.7500  4 Se 2.65-2.93
Se 0.0001 0.6195 0.7500  4 Se 2.65-2.93
Pb 0.6098 0.3902 0.7500  2 Se 3.05
Se 0.9999 0.3805 0.2500  4 Se 2.65-2.93

Output
ΔE_f (raw), eV/atom: 0.13
SG: No. 63
Crystal system: orthorhombic
Total energy, eV/atom: -3.41


[6]
Material: YPd2I
Method: DFT, PBE
State: relaxed

a = 6.5094 Å, b = 6.5094 Å, c = 7.3728 Å
α = 63.80°, β = 63.80°, γ = 90.00°
With the nearest neighbours (Å) after each atom.
Positions (direct):
I 0.7500 0.2500 0.5000  4 Pd 2.70
Y 0.2500 0.7500 0.5000  4 Pd 2.73
Pd 0.8750 0.8800 0.7500  2 I 2.70, 2 Y 2.73
I 0.0000 0.0000 0.0000  4 Pd 2.70
Pd 0.6300 0.1250 0.2500  2 I 2.70, 2 Y 2.73
Pd 0.3750 0.3700 0.7500  2 I 2.70, 2 Y 2.73
Pd 0.1200 0.6250 0.2500  2 I 2.70, 2 Y 2.73
Y 0.5000 0.5000 0.0000  4 Pd 2.73

Output
ΔE_f (raw), eV/atom: -0.10
Offset from the most stable computed form, meV/atom: 246
SG: No. 122
Crystal system: tetragonal
Total energy, eV/atom: -4.70


[7]
Material: Ti3AlRu
Method: DFT, PBE
State: relaxed

a = 4.6726 Å, b = 4.6726 Å, c = 4.6726 Å
α = 90.00°, β = 90.00°, γ = 90.00°
With the nearest neighbours (Å) after each atom.
Positions (direct):
Ti 0.0000 0.0000 0.5000  2 Ru 2.34
Ti 0.0000 0.5000 0.0000  2 Ru 2.34
Ru 0.0000 0.0000 0.0000  6 Ti 2.34
Ti 0.5000 0.0000 0.0000  2 Ru 2.34
Al 0.5000 0.5000 0.5000  12 Ti 3.30

Output
Offset from the most stable computed form, meV/atom: 0
SG: No. 221
Formation energy from the elements, kJ per mole of atoms: 35.0
Crystal system: cubic
Total energy, eV/atom: -6.98


[8]
Material: TbB2IrRu
Method: DFT, PBE
State: relaxed

a = 3.9300 Å, b = 3.9300 Å, c = 5.4883 Å
α = 110.98°, β = 110.98°, γ = 90.00°
With the nearest neighbours (Å) after each atom.
Positions (direct):
B 0.6613 0.6613 0.3226  2 Ru 2.14, 2 Ir 2.14
Tb 0.0000 0.0000 0.0000  4 Ru 3.08, 4 Ir 3.08, 10 B 3.17-3.21
Ir 0.7500 0.2500 0.5000  4 B 2.14
B 0.3387 0.3387 0.6774  2 Ru 2.14, 2 Ir 2.14
Ru 0.2500 0.7500 0.5000  4 B 2.14

Output
SG: No. 119
Formation energy from the elements, kJ per mole of atoms: -59.8
Crystal system: tetragonal
Total energy, eV/atom: -7.84


The evaluated total moment for the records listed, in turn: 0.000, 0.000, 0.000, 0.000, 0.000, 0.000, 0.153, 0.000 μB/atom.